(1)
Entry from Alexandria via LeMat-Bulk: MgSi after structural relaxation (PBE).

Structure (POSCAR):
```
MgSi
1.0
1.848 -14.910 0.000
1.848 14.910 0.000
0.000 0.000 4.110
Mg Si
6 6
direct
0.048 0.952 0.750
0.216 0.784 0.250
0.384 0.616 0.750
0.616 0.384 0.250
0.784 0.216 0.750
0.952 0.048 0.250
0.139 0.861 0.750
0.309 0.691 0.250
0.478 0.522 0.750
0.522 0.478 0.250
0.691 0.309 0.750
0.861 0.139 0.250
```

Properties
Size of the total moment ... 0.00 μB per cell
ΔE_f (raw) ... 0 kJ/mol of formula units
Calculated volume ... 227 Å³ per cell

(2)
Entry from Alexandria via LeMat-Bulk: Tb6PmPr2Er3 after structural relaxation (PBE).

Structure (POSCAR):
```
Tb6PmPr2Er3
1.0
3.103 -5.372 0.000
3.103 5.372 0.000
-2.063 0.000 11.678
Tb Pm Pr Er
6 1 2 3
direct
0.085 0.418 0.755
0.247 0.247 0.245
0.418 0.085 0.755
0.582 0.915 0.245
0.753 0.753 0.755
0.915 0.582 0.245
0.000 0.000 0.500
0.333 0.667 0.500
0.667 0.333 0.500
0.167 0.833 0.000
0.500 0.500 0.000
0.833 0.167 0.000
```

Properties
Size of the total moment ... 0.00 μB per cell
Formation energy from the elements ... 0.0191 eV/atom
Calculated volume ... 389 Å³ per cell

(3)
Entry from Alexandria via LeMat-Bulk: K12Rb16Na after structural relaxation (PBE).

Structure (POSCAR):
```
K12Rb16Na
1.0
8.411 -11.621 0.000
8.411 11.621 0.000
-8.308 0.000 12.067
K Rb Na
12 16 1
direct
0.000 0.000 0.000
0.167 0.546 0.994
0.172 0.172 0.372
0.176 0.992 0.798
0.357 0.547 0.539
0.357 0.733 0.360
0.545 0.729 0.173
0.546 0.167 0.994
0.547 0.357 0.539
0.729 0.545 0.173
0.733 0.357 0.360
0.992 0.176 0.798
0.031 0.780 0.189
0.044 0.357 0.585
0.074 0.682 0.490
0.356 0.761 0.856
0.357 0.044 0.585
0.359 0.998 0.177
0.361 0.361 0.177
0.363 0.363 0.824
0.641 0.951 0.770
0.671 0.671 0.885
0.682 0.074 0.490
0.734 0.734 0.523
0.761 0.356 0.856
0.780 0.031 0.189
0.951 0.641 0.770
0.998 0.359 0.177
0.976 0.976 0.478
```

Properties
Size of the total moment ... 0.00 μB per cell
Formation energy from the elements ... 0.0138 eV/atom
Calculated volume ... 2359 Å³ per cell

(4)
Entry from Alexandria via LeMat-Bulk: Ti2H3Rh after structural relaxation (PBE).

Structure (POSCAR):
```
Ti2H3Rh
1.0
-1.494 1.854 4.764
1.494 -1.854 4.764
1.494 1.854 -4.764
Ti H Rh
2 3 1
direct
0.160 0.160 0.000
0.840 0.840 0.000
0.000 0.500 0.500
0.276 0.776 0.500
0.724 0.224 0.500
0.500 0.500 0.000
```

Properties
Uncorrected energy ... -6.001 eV per atom
Size of the total moment ... 0.00 μB per cell
Calculated volume ... 53 Å³ per cell

(5)
Entry from Alexandria via LeMat-Bulk: Dy4Cd after structural relaxation (PBE).

Structure (POSCAR):
```
Dy4Cd
1.0
-1.777 1.777 11.647
1.777 -1.777 11.647
1.777 1.777 -11.647
Dy Cd
4 1
direct
0.090 0.090 0.000
0.303 0.303 0.000
0.697 0.697 0.000
0.910 0.910 0.000
0.500 0.500 0.000
```

Properties
Size of the total moment ... 0.00 μB per cell
Formation energy from the elements ... -0.1107 eV/atom
Calculated volume ... 147 Å³ per cell
Excess energy over the best structure of this formula in the dataset ... 0 meV/atom

(6)
Entry from Alexandria via LeMat-Bulk: Al3ZnTc after structural relaxation (PBE).

Structure (POSCAR):
```
Al3ZnTc
1.0
4.560 0.000 0.000
0.000 4.560 0.000
0.000 0.000 4.560
Al Zn Tc
3 1 1
direct
0.000 0.000 0.500
0.000 0.500 0.000
0.500 0.000 0.000
0.000 0.000 0.000
0.500 0.500 0.500
```

Properties
Size of the total moment ... 2.47 μB per cell
Formation energy from the elements ... 0.9898 eV/atom
Calculated volume ... 95 Å³ per cell
Excess energy over the best structure of this formula in the dataset ... 1241 meV/atom

(7)
Entry from Alexandria via LeMat-Bulk: Zn2BiN2 after structural relaxation (PBE).

Structure (POSCAR):
```
Zn2BiN2
1.0
7.143 0.000 0.000
0.000 7.143 0.000
0.000 0.000 3.518
Zn Bi N
4 2 4
direct
0.138 0.362 0.000
0.362 0.862 0.000
0.638 0.138 0.000
0.862 0.638 0.000
0.000 0.000 0.500
0.500 0.500 0.500
0.194 0.306 0.500
0.306 0.806 0.500
0.694 0.194 0.500
0.806 0.694 0.500
```

Properties
Size of the total moment ... 0.00 μB per cell
ΔE_f (raw) ... 279 kJ/mol of formula units
Calculated volume ... 179 Å³ per cell
Excess energy over the best structure of this formula in the dataset ... 0 meV/atom

(8)
Entry from Alexandria via LeMat-Bulk: KIn2Sb2Au after structural relaxation (PBE).

Structure (POSCAR):
```
KIn2Sb2Au
1.0
4.449 0.000 0.000
0.000 18.409 0.000
0.000 0.000 4.446
K In Sb Au
2 4 4 2
direct
0.000 0.000 0.000
0.500 0.500 0.500
0.012 0.186 0.000
0.488 0.686 0.500
0.512 0.314 0.500
0.988 0.814 0.000
0.010 0.353 0.000
0.490 0.853 0.500
0.510 0.147 0.500
0.990 0.647 0.000
0.000 0.500 0.000
0.500 0.000 0.500
```

Properties
Size of the total moment ... 0.00 μB per cell
ΔE_f (raw) ... -68 kJ/mol of formula units
Calculated volume ... 364 Å³ per cell

(9)
Entry from Alexandria via LeMat-Bulk: InSe5 after structural relaxation (PBE).

Structure (POSCAR):
```
InSe5
1.0
3.871 -1.932 0.000
3.871 1.932 0.000
-0.963 0.000 10.706
In Se
1 5
direct
0.000 0.000 0.000
0.331 0.331 0.620
0.390 0.390 0.164
0.591 0.591 0.346
0.673 0.673 0.881
0.951 0.951 0.500
```

Properties
Size of the total moment ... 0.00 μB per cell
ΔE_f (raw) ... -41 kJ/mol of formula units
Calculated volume ... 160 Å³ per cell
Excess energy over the best structure of this formula in the dataset ... 0 meV/atom

(10)
Entry from Alexandria via LeMat-Bulk: BaOs3Cl after structural relaxation (PBE).

Structure (POSCAR):
```
BaOs3Cl
1.0
4.605 0.000 0.000
0.000 4.605 0.000
0.000 0.000 4.605
Ba Os Cl
1 3 1
direct
0.000 0.000 0.000
0.000 0.500 0.500
0.500 0.000 0.500
0.500 0.500 0.000
0.500 0.500 0.500
```

Properties
Size of the total moment ... 0.00 μB per cell
ΔE_f (raw) ... 869 kJ/mol of formula units
Calculated volume ... 98 Å³ per cell
Excess energy over the best structure of this formula in the dataset ... 0 meV/atom

(11)
Entry from Alexandria via LeMat-Bulk: HgSeBr2 after structural relaxation (PBE).

Structure (POSCAR):
```
HgSeBr2
1.0
3.938 0.000 0.000
0.000 4.108 0.000
0.000 0.000 7.318
Hg Se Br
1 1 2
direct
0.000 0.000 0.000
0.500 0.000 0.500
0.000 0.500 0.500
0.500 0.500 0.000
```

Properties
Size of the total moment ... 0.00 μB per cell
ΔE_f (raw) ... 42 kJ/mol of formula units
Calculated volume ... 118 Å³ per cell
Excess energy over the best structure of this formula in the dataset ... 285 meV/atom

(12)
Entry from Alexandria via LeMat-Bulk: La6Sn2Hg after structural relaxation (PBE).

Structure (POSCAR):
```
La6Sn2Hg
1.0
8.777 0.000 0.000
-4.388 7.601 0.000
0.000 0.000 4.471
La Sn Hg
6 2 1
direct
0.000 0.412 0.000
0.000 0.733 0.500
0.267 0.267 0.500
0.412 0.000 0.000
0.588 0.588 0.000
0.733 0.000 0.500
0.333 0.667 0.500
0.667 0.333 0.500
0.000 0.000 0.000
```

Properties
Size of the total moment ... 0.00 μB per cell
Formation energy from the elements ... -0.5138 eV/atom
Calculated volume ... 298 Å³ per cell

(13)
Entry from Alexandria via LeMat-Bulk: Tl2VS4 after structural relaxation (PBE).

Structure (POSCAR):
```
Tl2VS4
1.0
-2.250 2.250 8.159
2.250 -2.250 8.159
2.250 2.250 -8.159
Tl V S
2 1 4
direct
0.162 0.162 0.000
0.838 0.838 0.000
0.500 0.500 0.000
0.000 0.500 0.500
0.351 0.351 0.000
0.500 0.000 0.500
0.649 0.649 0.000
```

Properties
Size of the total moment ... 0.00 μB per cell
ΔE_f (raw) ... -202 kJ/mol of formula units
Calculated volume ... 165 Å³ per cell

(14)
Entry from Alexandria via LeMat-Bulk: YLuGaNi after structural relaxation (PBE).

Structure (POSCAR):
```
YLuGaNi
1.0
0.000 3.456 3.456
3.456 0.000 3.456
3.456 3.456 0.000
Y Lu Ga Ni
1 1 1 1
direct
0.000 0.000 0.000
0.500 0.500 0.500
0.750 0.750 0.750
0.250 0.250 0.250
```

Properties
Size of the total moment ... 0.00 μB per cell
Formation energy from the elements ... -0.4725 eV/atom
Calculated volume ... 83 Å³ per cell

(15)
Entry from Alexandria via LeMat-Bulk: YCr2Br after structural relaxation (PBE).

Structure (POSCAR):
```
YCr2Br
1.0
3.814 0.000 0.000
0.000 3.814 0.000
0.000 0.000 6.279
Y Cr Br
1 2 1
direct
0.000 0.000 0.000
0.500 0.500 0.242
0.500 0.500 0.758
0.000 0.000 0.500
```

Properties
Size of the total moment ... 8.31 μB per cell
ΔE_f (raw) ... 178 kJ/mol of formula units
Calculated volume ... 91 Å³ per cell
Excess energy over the best structure of this formula in the dataset ... 443 meV/atom

(16)
Entry from Alexandria via LeMat-Bulk: Ca2VHIr after structural relaxation (PBE).

Structure (POSCAR):
```
Ca2VHIr
1.0
5.528 0.000 0.000
0.000 5.528 0.000
0.000 0.000 3.263
Ca V H Ir
2 1 1 1
direct
0.000 0.500 0.000
0.500 0.000 0.000
0.000 0.000 0.000
0.000 0.000 0.500
0.500 0.500 0.500
```

Properties
Uncorrected energy ... -4.407 eV per atom
Size of the total moment ... 3.92 μB per cell
Calculated volume ... 100 Å³ per cell

Calculated values (g/cm3) of calculated density for the records, taken in order: 2.304, 8.029, 1.309, 6.346, 8.608, 4.278, 6.807, 6.468, 5.283, 12.638, 6.163, 7.078, 5.908, 7.894, 4.959, 5.402.